Here is a relaxed structure of Co3Ge from the Open Quantum Materials Database. Energies are from PBE-GGA.

Computed properties:
- Total energy: -6.601 eV/atom

Unit cell a=6.437 b=7.561 c=3.755 alpha=90.00 beta=90.00 gamma=90.00
Space group Cmcm (No. 63)
Symmetry-distinct sites (fractional):
Co: 0.000 0.100 0.250
Co: 0.224 0.384 0.250
Ge: 0.000 0.332 0.750

Here is a relaxed structure of Co3Ge from the Open Quantum Materials Database. Energies are from PBE-GGA.

Computed properties:
- Total energy: -6.526 eV/atom

Unit cell a=3.627 b=3.627 c=6.874 alpha=90.00 beta=90.00 gamma=90.00
Space group I4/mmm (No. 139)
Symmetry-distinct sites (fractional):
Co: 0.000 0.000 0.000
Co: 0.000 0.500 0.250
Ge: 0.000 0.000 0.500

Here is a relaxed structure of Co5Ge7 from the Open Quantum Materials Database. Energies are from PBE-GGA.

Computed properties:
- Total energy: -5.273 eV/atom

Unit cell a=7.883 b=7.883 c=5.950 alpha=90.00 beta=90.00 gamma=90.00
Space group I4mm (No. 107)
Symmetry-distinct sites (fractional):
Co: 0.000 0.000 0.000
Co: 0.233 0.233 0.942
Ge: 0.000 0.000 0.624
Ge: 0.000 0.242 0.236
Ge: 0.000 0.500 0.479